Record 1
This record from Alexandria describes Sr2ClO after structural relaxation. The functional is GGA-PBE.

Computed properties:
VASP energy: -18.51 eV/cell
calculated density: 4.20 Mg/m³
E_form (uncorrected): -2086 meV per atom

Cell: 3.843 3.843 7.345 Å, 74.83 74.83 60.00°
Positions (direct):
Sr  0.267  0.267  0.199
Sr  0.733  0.733  0.801
O  0.000  0.000  0.000
Cl  0.500  0.500  0.500

Record 2
This record from Alexandria describes SrClO after structural relaxation. The functional is GGA-PBE.

Computed properties:
VASP energy: -28.14 eV/cell
calculated density: 3.03 Mg/m³
E_form (uncorrected): -1862 meV per atom

Cell: 4.277 4.277 9.624 Å, 90.00 90.00 120.00°
Site moments in Bohr magnetons follow the coordinates.
Positions (direct):
Sr  0.333  0.667  0.939  -0.01
Sr  0.667  0.333  0.439  -0.01
O  0.000  0.000  0.484  0.71
O  0.000  0.000  0.984  0.71
Cl  0.667  0.333  0.749  0.07
Cl  0.333  0.667  0.249  0.07

Record 3
This record from Alexandria describes SrCl2O after structural relaxation. The functional is GGA-PBE.

Computed properties:
VASP energy: -62.95 eV/cell
calculated density: 2.87 Mg/m³
E_form (uncorrected): -1351 meV per atom

Cell: 4.768 7.950 10.646 Å, 90.00 90.00 90.00°
Site moments in Bohr magnetons follow the coordinates.
Positions (direct):
Cl  0.250  0.855  0.386  0.29
Cl  0.250  0.113  0.894  0.20
Cl  0.750  0.145  0.614  0.29
Cl  0.250  0.387  0.394  0.20
Cl  0.750  0.613  0.606  0.20
Cl  0.750  0.887  0.106  0.20
Cl  0.250  0.645  0.886  0.29
Cl  0.750  0.355  0.114  0.29
Sr  0.750  0.876  0.817  -0.01
Sr  0.250  0.124  0.183  -0.01
Sr  0.250  0.376  0.683  -0.01
Sr  0.750  0.624  0.317  -0.01
O  0.250  0.623  0.237  1.14
O  0.250  0.877  0.737  1.14
O  0.750  0.377  0.763  1.14
O  0.750  0.123  0.263  1.14